# 1
## PmInPd4 (PBE-GGA)

Data for an optimized crystal structure of PmInPd4.

Cell lengths 5.423, 5.423, 5.423 Å; angles 60.00, 60.00, 60.00 degrees
Positions (direct):
Pd1 0.626 0.123 0.626
Pd2 0.626 0.626 0.123
Pd3 0.123 0.626 0.626
Pd4 0.626 0.626 0.626
Pm1 0.250 0.250 0.250
In1 0.000 0.000 0.000

Summary:
Electronic total energy: -5.372 eV per atom
Calculated formation energy: -3.97 eV per formula unit
Total magnetic moment: 0.0 μB per cell


# 2
## PmYIr (PBE-GGA)

Data for an optimized crystal structure of PmYIr.

Cell lengths 6.263, 4.154, 4.154 Å; angles 120.00, 90.00, 90.00 degrees
Positions (direct):
Y1 0.772 0.667 0.333
Ir1 0.996 0.000 0.000
Pm1 0.232 0.333 0.667

Summary:
Electronic total energy: -7.194 eV per atom
Calculated formation energy: -1.51 eV per formula unit
Total magnetic moment: 0.0 μB per cell